Entry a
Computed, not measured: crystalline LiTaTc at its relaxed geometry at the PBE-GGA level of DFT.

The value obtained for the total magnetic moment is 0.000 μB/f.u.

The structure belongs to space group F-43m (No. 216); the cell edges are 6.0080, 6.0080 and 6.0080 Å and the angles 90.00°, 90.00° and 90.00°. The asymmetric unit holds Li at (0.0000, 0.0000, 0.0000), Ta at (0.0000, 0.0000, 0.5000) and Tc at (0.2500, 0.2500, 0.2500).

Entry b
Computed, not measured: crystalline LiTaTc at its relaxed geometry at the PBE-GGA level of DFT.

The value obtained for the total magnetic moment is 0.000 μB/f.u.

The structure belongs to space group I4mm (No. 107); the cell edges are 2.6471, 2.6471 and 13.9593 Å and the angles 90.00°, 90.00° and 90.00°. The asymmetric unit holds Li at (0.0000, 0.0000, 0.0000), Ta at (0.0000, 0.0000, 0.6800) and Tc at (0.0000, 0.0000, 0.3435).

The relative energies come out as entry a 352; entry b 0, with values in meV/atom.